1.
First-principles (PBE) data for crystalline Ba2Zn3Au2 at its relaxed geometry, as listed in Alexandria via LeMat-Bulk.

Cell and atoms, written as POSCAR:
```
Ba2Zn3Au2
1.0
4.333 0.000 0.000
-2.166 5.942 -0.461
0.000 -3.281 7.285
Ba Zn Au
2 3 2
Direct
0.868 0.736 0.243
0.132 0.264 0.757
0.500 0.000 0.000
0.653 0.305 0.427
0.347 0.695 0.573
0.863 0.726 0.793
0.137 0.274 0.207
```

Space-group type   C2/m (12)
Relative energy among the computed polymorphs   0.000 eV per atom
Energy relative to the elements   -0.4052 eV per atom
Uncorrected energy   -2.437 eV/atom

=====

2.
First-principles (PBE) data for crystalline BaZn2Au at its relaxed geometry, as listed in Alexandria via LeMat-Bulk.

Cell and atoms, written as POSCAR:
```
BaZn2Au
1.0
-3.290 3.141 -0.618
-1.986 -1.291 4.009
2.792 3.412 2.483
Au Ba Zn
1 1 2
Direct
0.500 0.000 0.500
0.000 0.500 0.500
0.000 0.000 0.000
0.500 0.500 0.000
```

Space-group type   Pmmm (47)
Energy relative to the elements   -0.1158 eV per atom
Uncorrected energy   -2.053 eV/atom